No. 1
Entry from Alexandria via LeMat-Bulk: BaZn2Mo after structural relaxation (PBE-GGA).

Lattice parameters (Å, degrees): 5.6557 5.6557 5.6557 135.28 135.28 65.10
Last column: nearest neighbours and their distance in Å.
Fractional positions:
Zn: 0.0000 0.0000 0.0000  4 Ba 3.04, 4 Zn 3.21, 4 Mo 3.21
Zn: 0.2500 0.7500 0.5000  4 Mo 3.04, 4 Zn 3.21, 4 Ba 3.21
Mo: 0.7500 0.2500 0.5000  8 Zn 3.04-3.21, 4 Ba 3.21
Ba: 0.5000 0.5000 0.0000  8 Zn 3.04-3.21, 4 Mo 3.21

Computed properties:
The offset from the most stable computed form is 2.022 eV per formula unit. For the total magnetic moment, the calculation gives 0.000 μB per atom.

No. 2
Entry from Alexandria via LeMat-Bulk: BaZnMo2 after structural relaxation (PBE-GGA).

Lattice parameters (Å, degrees): 3.3135 3.3135 7.9996 90.00 90.00 90.00
Last column: nearest neighbours and their distance in Å.
Fractional positions:
Zn: 0.0000 0.0000 0.4279  5 Mo 2.75-2.80
Mo: 0.5000 0.5000 0.2361  4 Mo 2.64, 4 Zn 2.80
Mo: 0.0000 0.0000 0.0846  4 Mo 2.64, 1 Zn 2.75
Ba: 0.5000 0.5000 0.7514  4 Ba 3.31, 4 Zn 3.49, 4 Mo 3.55

Computed properties:
For the total magnetic moment, the calculation gives 0.000 μB per atom.

No. 3
Entry from Alexandria via LeMat-Bulk: BaZn2Mo after structural relaxation (PBE-GGA).

Lattice parameters (Å, degrees): 6.0652 6.0652 6.0652 150.85 126.32 62.25
Last column: nearest neighbours and their distance in Å.
Fractional positions:
Zn: 0.0006 0.0006 0.0000  2 Mo 2.70, 2 Zn 2.72
Zn: 0.7840 0.2840 0.5000  2 Zn 2.72
Ba: 0.5005 0.5005 0.0000  2 Ba 3.05, 6 Zn 3.14-3.32, 2 Mo 3.34
Mo: 0.2148 0.7148 0.5000  2 Zn 2.70

Computed properties:
The offset from the most stable computed form is 1.296 eV per formula unit. For the total magnetic moment, the calculation gives 0.273 μB per atom.

Number 1: uncorrected energy -2.977 eV/atom, energy of formation from the pure elements 849 meV per atom. Number 2: uncorrected energy -5.795 eV/atom, energy of formation from the pure elements 420 meV per atom. Number 3: uncorrected energy -3.158 eV/atom, energy of formation from the pure elements 667 meV per atom.